VASP calculation (PBE with a Hubbard U) on crystalline Li3Ni2O2F3 at its relaxed geometry.

Unit cell a=2.9418 b=2.9418 c=10.5981 alpha=97.98 beta=97.98 gamma=90.00
Closest atoms and distances in Å follow each position.
Atoms (fractional coordinates):
F 0.5958 0.5958 0.1915  5 Li 1.99-2.08, 1 Ni 2.17
Li 0.9016 0.9016 0.8032  5 F 2.04-2.08, 1 O 2.08
F 0.4042 0.4042 0.8085  5 Li 1.99-2.08, 1 Ni 2.17
Li 0.0984 0.0984 0.1968  5 F 2.04-2.08, 1 O 2.08
Ni 0.2997 0.2997 0.5994  5 O 2.08-2.11, 1 F 2.17
Ni 0.7003 0.7003 0.4006  5 O 2.08-2.11, 1 F 2.17
Li 0.5000 0.5000 0.0000  6 F 1.99-2.08
O 0.1982 0.1982 0.3965  1 Li 2.08, 5 Ni 2.08-2.11
F 0.0000 0.0000 0.0000  6 Li 2.04-2.08
O 0.8018 0.8018 0.6035  1 Li 2.08, 5 Ni 2.08-2.11

Summary:
- Total magnetic moment: 4.00 Bohr magnetons per cell
- Final energy: -4.80 eV/atom
- Volume: 89.9 Å³ per cell